[1]
# PBE-GGA Th2Ge3Ru2, optimized geometry
data_Th2Ge3Ru2
_chemical_formula_sum 'Th4 Ge6 Ru4'
_cell_length_a 10.1874
_cell_length_b 4.2926
_cell_length_c 6.9123
_cell_angle_alpha 90.00
_cell_angle_beta 112.97
_cell_angle_gamma 90.00
_symmetry_space_group_name_H-M 'C 1 2/m 1'
_symmetry_Int_Tables_number 12
_symmetry_space_group_name_Hall '-C 2y'
loop_
_atom_site_label
_atom_site_type_symbol
_atom_site_fract_x
_atom_site_fract_y
_atom_site_fract_z
Th1 Th 0.1472 0.0000 0.2759
Ge1 Ge 0.0000 0.5000 0.5000
Ge2 Ge 0.1245 0.5000 0.9377
Ru1 Ru 0.1369 0.0000 0.7127
# Theoretical density in g/cm3: 10.55
# Formation energy in eV per atom: -0.57
# Offset from the most stable computed form in meV/atom: 61.1

---

[2]
# PBE-GGA Ho7Al2Tl2, optimized geometry
data_Ho7Al2Tl2
_chemical_formula_sum 'Ho14 Al4 Tl4'
_cell_length_a 7.6654
_cell_length_b 10.9348
_cell_length_c 7.8094
_cell_angle_alpha 90.00
_cell_angle_beta 90.00
_cell_angle_gamma 90.00
_symmetry_space_group_name_H-M 'C m m m'
_symmetry_Int_Tables_number 65
_symmetry_space_group_name_Hall '-C 2 2'
loop_
_atom_site_label
_atom_site_type_symbol
_atom_site_fract_x
_atom_site_fract_y
_atom_site_fract_z
Ho1 Ho 0.0000 0.0000 0.0000
Ho2 Ho 0.0000 0.5000 0.2809
Ho3 Ho 0.2500 0.2500 0.2949
Al1 Al 0.1694 0.0000 0.5000
Tl1 Tl 0.0000 0.2976 0.0000
# Theoretical density in g/cm3: 8.21
# Formation energy in eV per atom: 0.01

---

[3]
# PBE-GGA LiYHf, optimized geometry
data_LiYHf
_chemical_formula_sum 'Li4 Y4 Hf4'
_cell_length_a 6.6393
_cell_length_b 4.8005
_cell_length_c 8.9078
_cell_angle_alpha 90.00
_cell_angle_beta 90.00
_cell_angle_gamma 90.00
_symmetry_space_group_name_H-M 'P n m a'
_symmetry_Int_Tables_number 62
_symmetry_space_group_name_Hall '-P 2ac 2n'
loop_
_atom_site_label
_atom_site_type_symbol
_atom_site_fract_x
_atom_site_fract_y
_atom_site_fract_z
Li1 Li 0.2145 0.2500 0.1080
Y1 Y 0.0318 0.2500 0.8029
Hf1 Hf 0.1257 0.2500 0.4400
# Theoretical density in g/cm3: 6.42
# Formation energy in eV per atom: 0.31
# Offset from the most stable computed form in meV/atom: 216.0